Entry w
A geometry-optimized Ho5Sn3 structure, computed with GGA-PBE.

```
Ho5Sn3
1.0
-4.0657 4.0657 6.8111
4.0657 -4.0657 6.8111
4.0657 4.0657 -6.8111
Ho Sn
10 6
Cartesian
0.0000 0.0000 0.0000
5.3388 1.2731 -2.0468
1.2731 2.7926 -2.0468
5.3388 1.2731 2.0468
1.2731 2.7926 2.0468
0.0000 0.0000 6.8111
2.7926 1.2731 4.7643
-1.2731 2.7926 4.7643
2.7926 1.2731 8.8580
-1.2731 2.7926 8.8580
2.8980 1.1677 0.0000
0.0000 0.0000 3.4056
2.8980 -1.1677 6.8111
1.1677 5.2334 0.0000
0.0000 0.0000 10.2167
1.1677 2.8980 6.8111
```

Output
spin magnetization	0.01	μB per cell

---

Entry x
A geometry-optimized Ho5Sn3 structure, computed with GGA-PBE.

```
Ho5Sn3
1.0
-5.9928 5.9928 3.0719
5.9928 -5.9928 3.0719
5.9928 5.9928 -3.0719
Ho Sn
10 6
Cartesian
9.3609 0.9652 0.0000
0.9652 2.6248 0.0000
5.9928 0.0000 1.5360
6.9581 3.3680 0.0000
3.3680 5.0276 0.0000
2.6248 0.9652 3.0719
-0.9652 2.6248 3.0719
0.0000 5.9928 1.5360
5.0276 3.3680 3.0719
-3.3680 5.0276 3.0719
4.0434 1.9495 0.0000
0.0000 0.0000 1.5360
4.0434 -1.9495 3.0719
1.9495 7.9423 0.0000
0.0000 0.0000 4.6079
1.9495 4.0434 3.0719
```

Output
spin magnetization	3.05	μB per cell

---

Entry y
A geometry-optimized Ho5Sn3 structure, computed with GGA-PBE.

```
Ho5Sn3
1.0
8.9212 0.0000 0.0000
-4.4606 7.7260 0.0000
0.0000 0.0000 6.5214
Ho Sn
10 6
Cartesian
-1.0602 1.8364 1.6303
-3.4004 5.8897 4.8910
2.1204 0.0000 1.6303
1.0602 1.8364 4.8910
0.0000 5.1507 0.0000
0.0000 5.1507 3.2607
4.4606 2.5753 0.0000
4.4606 2.5753 3.2607
6.8008 0.0000 4.8910
3.4004 5.8897 1.6303
-1.7628 3.0532 4.8910
-2.6978 4.6728 1.6303
3.5256 0.0000 4.8910
1.7628 3.0532 1.6303
5.3957 0.0000 1.6303
2.6978 4.6728 4.8910
```

Output
spin magnetization	0.00	μB per cell

---

In terms of stability, entry y leads; the second structure lies 0.059 eV/atom higher.

---

Entry w
A geometry-optimized HoSn5 structure, computed with GGA-PBE.

```
HoSn5
1.0
4.2978 0.0000 0.0000
0.0000 11.0380 0.0000
0.0000 0.0000 6.6799
Ho Sn
2 10
Cartesian
1.0745 2.7595 0.6887
3.2234 8.2785 5.9912
1.0745 2.7595 4.1315
1.0745 6.2817 0.9032
1.0745 6.6060 4.1535
1.0745 9.9510 4.1535
1.0745 10.2752 0.9032
3.2234 0.7627 5.7767
3.2234 1.0870 2.5264
3.2234 4.4320 2.5264
3.2234 4.7562 5.7767
3.2234 8.2785 2.5485
```

Output
spin magnetization	0.00	μB per cell

---

Entry x
A geometry-optimized HoSn5 structure, computed with GGA-PBE.

```
HoSn5
1.0
2.3062 -7.6499 0.0000
2.3062 7.6499 0.0000
0.0000 0.0000 4.5466
Ho Sn
1 5
Cartesian
0.0000 0.0000 0.0000
2.3062 5.0714 2.2733
2.3062 2.4094 0.0000
2.3062 0.0000 2.2733
2.3062 -2.4094 0.0000
2.3062 -5.0714 2.2733
```

Output
spin magnetization	0.00	μB per cell

---

In terms of stability, entry w leads; the second structure lies 0.006 eV/atom higher.

---

Entry w
A geometry-optimized TbHoSn structure, computed with GGA-PBE.

```
TbHoSn
1.0
-1.6625 1.6625 8.7684
1.6625 -1.6625 8.7684
1.6625 1.6625 -8.7684
Tb Ho Sn
1 1 1
Cartesian
0.0000 0.0000 0.0000
0.0000 0.0000 3.4680
0.0000 0.0000 6.5368
```

Output
spin magnetization	0.40	μB per cell

---

Entry x
A geometry-optimized TbHoSn structure, computed with GGA-PBE.

```
TbHoSn
1.0
-2.2797 2.2797 8.3519
2.2797 -2.2797 8.3519
2.2797 2.2797 -8.3519
Tb Ho Sn
2 2 2
Cartesian
0.0000 0.0000 2.9407
0.0000 0.0000 13.7632
2.2797 0.0000 0.0000
0.0000 2.2797 0.0000
0.0000 0.0000 6.0719
0.0000 0.0000 10.6320
```

Output
spin magnetization	0.00	μB per cell

---

In terms of stability, entry x leads; the second structure lies 0.760 eV/atom higher.

---

Entry w
A geometry-optimized TbHoSn structure, computed with GGA-PBE.

```
TbHoSn
1.0
0.0000 8.2959 9.2926
2.5153 0.0000 9.2926
2.5153 8.2959 0.0000
Tb Ho Sn
4 4 4
Cartesian
2.5153 8.2959 1.7718
2.5153 2.9787 9.2926
2.5153 13.6132 9.2926
2.5153 8.2959 16.8134
2.5153 5.2920 3.5093
2.5153 11.2999 3.5093
2.5153 5.2920 15.0759
2.5153 11.2999 15.0759
2.5153 6.0604 7.3512
2.5153 6.0604 11.2340
2.5153 10.5315 7.3512
2.5153 10.5315 11.2340
```

Output
spin magnetization	0.00	μB per cell

---

Entry x
A geometry-optimized TbHoSn structure, computed with GGA-PBE.

```
TbHoSn
1.0
6.7770 0.0000 0.0000
0.0000 4.8821 0.0000
0.0000 0.0000 10.1737
Tb Ho Sn
4 4 4
Cartesian
0.4911 1.2205 2.1015
2.8974 3.6616 7.1884
3.8796 1.2205 2.9853
6.2859 3.6616 8.0721
1.1038 1.2205 5.5897
2.2847 3.6616 0.5029
4.4923 1.2205 9.6708
5.6732 3.6616 4.5840
1.3400 1.2205 8.8821
2.0485 3.6616 3.7953
4.7285 1.2205 6.3784
5.4370 3.6616 1.2916
```

Output
spin magnetization	0.00	μB per cell

---

Entry y
A geometry-optimized TbHoSn structure, computed with GGA-PBE.

```
TbHoSn
1.0
5.0994 0.0000 0.0000
-2.5497 4.4162 0.0000
0.0000 0.0000 3.8466
Tb Ho Sn
1 1 1
Cartesian
0.0000 0.0000 0.0000
2.5497 1.4721 1.7148
0.0000 2.9442 2.6990
```

Output
spin magnetization	0.00	μB per cell

---

In terms of stability, entry x leads; the second structure lies 0.242 eV/atom higher.

---

Entry w
A geometry-optimized Ho2SnTe structure, computed with GGA-PBE.

```
Ho2SnTe
1.0
2.1854 1.2617 7.1819
-2.1854 1.2617 7.1819
0.0000 -2.5235 7.1819
Ho Sn Te
2 1 1
Cartesian
0.0000 0.0000 5.2871
0.0000 0.0000 16.2586
0.0000 0.0000 10.7728
0.0000 0.0000 0.0000
```

Output
spin magnetization	0.00	μB per cell

---

Entry x
A geometry-optimized Ho2SnTe structure, computed with GGA-PBE.

```
Ho2SnTe
1.0
-3.0838 3.0838 6.1895
3.0838 -3.0838 6.1895
3.0838 3.0838 -6.1895
Ho Sn Te
4 2 2
Cartesian
3.0838 1.5419 -1.5926
0.0000 1.5419 1.5022
3.0838 1.5419 4.6873
0.0000 1.5419 7.7821
3.0838 -1.5419 4.6421
0.0000 4.6257 1.5474
3.0838 1.5419 1.5474
0.0000 1.5419 4.6421
```

Output
spin magnetization	0.00	μB per cell

---

Entry y
A geometry-optimized Ho2SnTe structure, computed with GGA-PBE.

```
Ho2SnTe
1.0
2.1690 1.2523 7.4301
-2.1690 1.2523 7.4301
0.0000 -2.5045 7.4301
Ho Sn Te
2 1 1
Cartesian
0.0000 0.0000 0.0000
0.0000 0.0000 4.0153
0.0000 0.0000 13.1820
0.0000 0.0000 9.3916
```

Output
spin magnetization	0.00	μB per cell

---

In terms of stability, entry x leads; the second structure lies 0.019 eV/atom higher.

---

Entry w
A geometry-optimized Ho5Sn2Te2 structure, computed with GGA-PBE.

```
Ho5Sn2Te2
1.0
-8.5068 3.8245 4.0874
8.5068 -3.8245 4.0874
8.5068 3.8245 -4.0874
Ho Sn Te
10 4 4
Cartesian
4.2534 2.6063 -1.8697
0.9862 1.6681 0.0000
7.5206 1.6681 0.0000
4.2534 1.2182 2.2177
2.6264 -1.1052 4.9751
5.8804 -1.1052 4.9751
2.6264 4.9297 0.8877
5.8804 4.9297 0.8877
0.9862 2.1564 4.0874
7.5206 2.1564 4.0874
1.4395 -0.3430 2.2748
7.0673 -0.3430 2.2748
7.0673 4.1676 -1.8126
9.9463 0.3430 2.2748
0.0000 3.8245 1.8570
0.0000 0.0000 5.9444
-4.2534 3.5694 3.4774
4.2534 4.0796 3.4774
```

Output
spin magnetization	0.01	μB per cell

---

Entry x
A geometry-optimized Ho5Sn2Te2 structure, computed with GGA-PBE.

```
Ho5Sn2Te2
1.0
7.6807 -4.0181 0.0000
7.6807 4.0181 0.0000
0.0000 0.0000 8.0916
Ho Sn Te
10 4 4
Cartesian
0.0000 0.0000 0.0000
5.6223 2.6990 5.3665
5.6223 1.3191 1.3207
9.7390 2.6990 5.3665
9.7390 1.3191 1.3207
7.6807 0.0000 4.0458
5.6223 -1.3191 6.7709
5.6223 -2.6990 2.7251
9.7390 -1.3191 6.7709
9.7390 -2.6990 2.7251
7.6807 2.9078 2.9383
7.6807 1.1103 6.9841
7.6807 -1.1103 1.1075
7.6807 -2.9078 5.1533
3.1073 0.0000 0.0000
4.5734 0.0000 4.0458
10.7879 0.0000 4.0458
12.2540 0.0000 0.0000
```

Output
spin magnetization	0.00	μB per cell

---

In terms of stability, entry x leads; the second structure lies 0.225 eV/atom higher.

---

Entry w
A geometry-optimized HoThSn2 structure, computed with GGA-PBE.

```
HoThSn2
1.0
4.9593 0.0000 0.0000
0.0000 4.9593 0.0000
0.0000 0.0000 4.4739
Ho Th Sn
1 1 2
Cartesian
0.0000 0.0000 0.0000
2.4796 2.4796 0.0000
0.0000 2.4796 2.2369
2.4796 0.0000 2.2369
```

Output
spin magnetization	0.00	μB per cell

---

Entry x
A geometry-optimized HoThSn2 structure, computed with GGA-PBE.

```
HoThSn2
1.0
4.4644 0.0000 0.0000
0.0000 2.2416 5.8007
0.0000 -2.2416 5.8007
Ho Th Sn
1 1 2
Cartesian
0.0000 0.0000 0.0000
2.2322 0.0000 8.4736
0.0000 0.0000 3.1332
2.2322 0.0000 5.3157
```

Output
spin magnetization	0.00	μB per cell

---

Entry y
A geometry-optimized HoThSn2 structure, computed with GGA-PBE.

```
HoThSn2
1.0
1.7796 1.0275 10.3186
-1.7796 1.0275 10.3186
0.0000 -2.0549 10.3186
Ho Th Sn
1 1 2
Cartesian
0.0000 0.0000 0.0000
0.0000 0.0000 15.4779
0.0000 0.0000 7.8356
0.0000 0.0000 23.1203
```

Output
spin magnetization	0.00	μB per cell

---

Entry z
A geometry-optimized HoThSn2 structure, computed with GGA-PBE.

```
HoThSn2
1.0
0.0000 3.8276 3.8276
3.8276 0.0000 3.8276
3.8276 3.8276 0.0000
Ho Th Sn
1 1 2
Cartesian
0.0000 0.0000 0.0000
3.8276 3.8276 3.8276
1.9138 1.9138 1.9138
5.7414 5.7414 5.7414
```

Output
spin magnetization	0.00	μB per cell

---

In terms of stability, entry x leads; the second structure lies 0.058 eV/atom higher.

---

Entry w
A geometry-optimized HoTh2Sn structure, computed with GGA-PBE.

```
HoTh2Sn
1.0
4.7988 0.0000 0.0000
0.0000 4.7988 0.0000
0.0000 0.0000 5.0592
Ho Th Sn
1 2 1
Cartesian
0.0000 0.0000 0.0000
0.0000 2.3994 2.5296
2.3994 0.0000 2.5296
2.3994 2.3994 0.0000
```

Output
spin magnetization	0.00	μB per cell

---

Entry x
A geometry-optimized HoTh2Sn structure, computed with GGA-PBE.

```
HoTh2Sn
1.0
1.7460 1.0081 12.3014
-1.7460 1.0081 12.3014
0.0000 -2.0161 12.3014
Ho Th Sn
1 2 1
Cartesian
0.0000 0.0000 0.0000
0.0000 0.0000 15.2265
0.0000 0.0000 21.6776
0.0000 0.0000 18.4521
```

Output
spin magnetization	0.00	μB per cell

---

In terms of stability, entry w leads; the second structure lies 0.499 eV/atom higher.